Entry 1:
A relaxed ZrSnIrPb2 crystal. Source: Alexandria, functional PBE-GGA.

Results
E_form, eV per atom: 0.656

Cell lengths 5.2956, 5.2956, 5.1111 Å; angles 90.00, 90.00, 90.00 degrees
With the nearest neighbours (Å) after each atom.
Space group P4/mmm (No. 123)
Symmetry-distinct sites (fractional):
Zr 0.0000 0.0000 0.0000  8 Pb 3.68, 4 Sn 3.74
Sn 0.5000 0.5000 0.0000  2 Ir 2.56
Ir 0.5000 0.5000 0.5000  2 Sn 2.56, 4 Pb 2.65
Pb 0.0000 0.5000 0.5000  2 Ir 2.65

***

Entry 2:
A relaxed Ba12Pm3H5 crystal. Source: Alexandria, functional PBE-GGA.

Results
Raw total energy, eV per atom: -2.660

Cell lengths 18.7877, 18.7877, 18.7877 Å; angles 90.00, 90.00, 90.00 degrees
With the nearest neighbours (Å) after each atom.
Space group Ia-3d (No. 230)
Symmetry-distinct sites (fractional):
Ba 0.0420 0.0482 0.6490  1 H 2.62
Pm 0.0000 0.2500 0.1250  8 Ba 3.78-3.90
H 0.0000 0.0000 0.0000  6 Ba 3.05
H 0.0000 0.2500 0.3750  4 Ba 2.62

***

Entry 3:
A relaxed Pm6Er4Tm crystal. Source: Alexandria, functional PBE-GGA.

Results
E_form, eV per atom: 0.304

Cell lengths 6.6498, 6.6498, 16.9647 Å; angles 90.00, 90.00, 90.00 degrees
With the nearest neighbours (Å) after each atom.
Space group I-42m (No. 121)
Symmetry-distinct sites (fractional):
Pm 0.0000 0.5000 0.0000  4 Er 3.24, 2 Tm 3.32
Pm 0.1891 0.1891 0.1762  5 Er 3.37-3.61, 1 Tm 3.48, 1 Pm 3.56
Er 0.1790 0.1790 0.3750  7 Pm 3.24-3.61, 1 Er 3.37
Tm 0.0000 0.0000 0.0000  8 Pm 3.32-3.48, 4 Er 3.69

***

Entry 4:
A relaxed ScWBr2 crystal. Source: Alexandria, functional PBE-GGA.

Results
Excess energy over the best structure of this formula in the dataset, kJ/mol of formula units: 269.2
Raw formation energy, eV/f.u.: 1.47

Cell lengths 3.0731, 4.5532, 5.9914 Å; angles 90.00, 90.00, 90.00 degrees
With the nearest neighbours (Å) after each atom.
Space group Pmmm (No. 47)
Symmetry-distinct sites (fractional):
Sc 0.0000 0.0000 0.0000  4 Br 2.75, 2 Sc 3.07
W 0.5000 0.0000 0.5000  4 Br 2.75, 2 W 3.07
Br 0.0000 0.5000 0.5000  4 W 2.75, 2 Br 3.07
Br 0.5000 0.5000 0.0000  4 Sc 2.75, 2 Br 3.07

***

Entry 5:
A relaxed In2AgIr2 crystal. Source: Alexandria, functional PBE-GGA.

Results
Excess energy over the best structure of this formula in the dataset, kJ/mol of formula units: 0.0
E_form, eV per atom: 0.028

Cell lengths 7.6656, 7.6656, 3.1337 Å; angles 90.00, 90.00, 90.00 degrees
With the nearest neighbours (Å) after each atom.
Space group P4/mbm (No. 127)
Symmetry-distinct sites (fractional):
In 0.1647 0.3353 0.0000  6 Ir 2.69-2.78
Ag 0.0000 0.0000 0.5000  4 Ir 2.99, 2 Ag 3.13, 8 In 3.26
Ir 0.1336 0.6336 0.5000  6 In 2.69-2.78, 1 Ir 2.90, 2 Ag 2.99

***

Entry 6:
A relaxed NaTbY4Se8 crystal. Source: Alexandria, functional PBE-GGA.

Results
Raw formation energy, eV/f.u.: -24.92

Cell lengths 8.4702, 8.4702, 20.7730 Å; angles 90.00, 90.00, 120.00 degrees
With the nearest neighbours (Å) after each atom.
Space group R3m (No. 160, hexagonal axes)
Symmetry-distinct sites (fractional):
Na 0.0000 0.0000 0.0000  4 Se 2.80
Tb 0.0000 0.0000 0.6301  6 Se 2.82-2.97
Y 0.0000 0.0000 0.2501  4 Se 2.76-2.77
Y 0.1732 0.3465 0.4568  6 Se 2.82-2.97
Se 0.0000 0.0000 0.3833  4 Y 2.77-2.97
Se 0.0000 0.0000 0.8653  1 Na 2.80, 3 Y 2.82
Se 0.0258 0.5129 0.3786  1 Na 2.80, 2 Y 2.82, 1 Tb 2.82
Se 0.1773 0.3547 0.2055  3 Y 2.76-2.96, 1 Tb 2.97

***

What is the formula in the fifth record?
In2AgIr2